No. 1
CoAgOs2 GGA-PBE relaxed; magnetic moment = 0.258 μB/atom; total DFT energy (no corrections) = -7.6225 eV/atom; SG = Immm (71)
1.0
-1.347 2.208 4.893
1.347 -2.208 4.893
1.347 2.208 -4.893
Co Ag Os
1 1 2
direct
0.000 0.000 0.000
0.500 0.500 0.000
0.214 0.714 0.500
0.786 0.286 0.500

---

No. 2
CoAg2Os GGA-PBE relaxed; magnetic moment = 0.084 μB/atom; total DFT energy (no corrections) = -5.6715 eV/atom; SG = P4mm (99)
1.0
2.747 0.000 0.000
0.000 2.747 0.000
0.000 0.000 7.998
Co Ag Os
1 2 1
direct
0.000 0.000 0.000
0.000 0.000 0.464
0.500 0.500 0.747
0.500 0.500 0.188

---

No. 3
CoAgOs2 GGA-PBE relaxed; magnetic moment = 0.262 μB/atom; total DFT energy (no corrections) = -7.3544 eV/atom; SG = Cmmm (65)
1.0
2.638 -4.008 0.000
2.638 4.008 0.000
0.000 0.000 2.685
Co Ag Os
1 1 2
direct
0.000 0.000 0.000
0.500 0.500 0.000
0.000 0.500 0.500
0.500 0.000 0.500

---

No. 4
CoAg2Os GGA-PBE relaxed; magnetic moment = 0.455 μB/atom; total DFT energy (no corrections) = -5.4214 eV/atom; SG = Cm (8)
1.0
4.546 -1.335 0.000
4.546 1.335 0.000
-0.827 0.000 5.031
Co Ag Os
1 2 1
direct
0.000 0.000 0.000
0.249 0.249 0.699
0.491 0.491 0.465
0.735 0.735 0.171

---

No. 5
CoAgOs2 GGA-PBE relaxed; magnetic moment = 0.000 μB/atom; total DFT energy (no corrections) = -7.7068 eV/atom; SG = P4mm (99)
1.0
2.732 0.000 0.000
0.000 2.732 0.000
0.000 0.000 7.638
Co Ag Os
1 1 2
direct
0.000 0.000 0.000
0.500 0.500 0.743
0.000 0.000 0.457
0.500 0.500 0.219

---

No. 6
CoAg2Os GGA-PBE relaxed; magnetic moment = 0.484 μB/atom; total DFT energy (no corrections) = -5.3712 eV/atom; SG = Cmmm (65)
1.0
1.382 -2.310 0.000
1.382 2.310 0.000
0.000 0.000 9.694
Co Ag Os
1 2 1
direct
0.000 0.000 0.000
0.500 0.500 0.239
0.500 0.500 0.761
0.000 0.000 0.500

---

No. 7
CoAg2Os GGA-PBE relaxed; magnetic moment = 0.619 μB/atom; total DFT energy (no corrections) = -5.3158 eV/atom; SG = Cmmm (65)
1.0
2.695 -4.313 0.000
2.695 4.313 0.000
0.000 0.000 2.634
Co Ag Os
1 2 1
direct
0.000 0.000 0.000
0.000 0.500 0.500
0.500 0.000 0.500
0.500 0.500 0.000

---

No. 8
CoAg2Os GGA-PBE relaxed; magnetic moment = 0.839 μB/atom; total DFT energy (no corrections) = -5.2506 eV/atom; SG = P4/mmm (123)
1.0
3.753 0.000 0.000
0.000 3.753 0.000
0.000 0.000 4.350
Co Ag Os
1 2 1
direct
0.000 0.000 0.000
0.000 0.500 0.500
0.500 0.000 0.500
0.500 0.500 0.000

---

No. 9
CoAg2Os GGA-PBE relaxed; magnetic moment = 0.785 μB/atom; total DFT energy (no corrections) = -5.2398 eV/atom; SG = I-4m2 (119)
1.0
-2.008 2.008 3.776
2.008 -2.008 3.776
2.008 2.008 -3.776
Co Ag Os
1 2 1
direct
0.000 0.000 0.000
0.500 0.500 0.000
0.750 0.250 0.500
0.250 0.750 0.500

---

No. 10
CoAg2Os2 GGA-PBE relaxed; magnetic moment = 0.563 μB/atom; total DFT energy (no corrections) = -6.1126 eV/atom; SG = P4/mbm (127)
1.0
6.132 0.000 0.000
0.000 6.132 0.000
0.000 0.000 4.457
Co Ag Os
2 4 4
direct
0.000 0.000 0.000
0.500 0.500 0.000
0.175 0.325 0.500
0.325 0.825 0.500
0.675 0.175 0.500
0.825 0.675 0.500
0.135 0.635 0.000
0.365 0.135 0.000
0.635 0.865 0.000
0.865 0.365 0.000

---

No. 11
CoAgOs2 GGA-PBE relaxed; magnetic moment = 0.380 μB/atom; total DFT energy (no corrections) = -7.5727 eV/atom; SG = Cm (8)
1.0
4.480 -1.357 0.000
4.480 1.357 0.000
-0.808 0.000 4.733
Co Ag Os
1 1 2
direct
0.000 0.000 0.000
0.755 0.755 0.238
0.261 0.261 0.741
0.516 0.516 0.550

---

No. 12
CoAgOs2 GGA-PBE relaxed; magnetic moment = 0.288 μB/atom; total DFT energy (no corrections) = -7.7102 eV/atom; SG = R-3m (166)
1.0
1.350 0.779 9.044
-1.350 0.779 9.044
0.000 -1.559 9.044
Co Ag Os
1 1 2
direct
0.000 0.000 0.000
0.500 0.500 0.500
0.258 0.258 0.258
0.742 0.742 0.742

---

No. 13
CoAg2Os GGA-PBE relaxed; magnetic moment = 0.779 μB/atom; total DFT energy (no corrections) = -5.0262 eV/atom; SG = Fm-3m (225)
1.0
0.000 3.143 3.143
3.143 0.000 3.143
3.143 3.143 0.000
Co Ag Os
1 2 1
direct
0.000 0.000 0.000
0.250 0.250 0.250
0.750 0.750 0.750
0.500 0.500 0.500

---

No. 14
CoAg2Os GGA-PBE relaxed; magnetic moment = 0.409 μB/atom; total DFT energy (no corrections) = -5.6646 eV/atom; SG = R3m (160)
1.0
1.375 0.794 9.276
-1.375 0.794 9.276
0.000 -1.588 9.276
Co Ag Os
1 2 1
direct
0.000 0.000 0.000
0.251 0.251 0.251
0.493 0.493 0.493
0.736 0.736 0.736

---

No. 15
CoAg2Os GGA-PBE relaxed; magnetic moment = 0.523 μB/atom; total DFT energy (no corrections) = -5.3612 eV/atom; SG = Imm2 (44)
1.0
-1.351 2.409 4.779
1.351 -2.409 4.779
1.351 2.409 -4.779
Co Ag Os
1 2 1
direct
0.000 0.000 0.000
0.479 0.479 0.000
0.751 0.251 0.500
0.211 0.711 0.500

---

No. 16
Co4AgOs GGA-PBE relaxed; magnetic moment = 1.417 μB/atom; total DFT energy (no corrections) = -6.7299 eV/atom; SG = F-43m (216)
1.0
0.000 3.365 3.365
3.365 0.000 3.365
3.365 3.365 0.000
Co Ag Os
4 1 1
direct
0.125 0.125 0.125
0.125 0.125 0.624
0.125 0.624 0.125
0.624 0.125 0.125
0.750 0.750 0.750
0.500 0.500 0.500

---

No. 17
CoAgOs GGA-PBE relaxed; magnetic moment = 0.000 μB/atom; total DFT energy (no corrections) = -6.6391 eV/atom; SG = I4mm (107)
1.0
-1.355 1.355 5.826
1.355 -1.355 5.826
1.355 1.355 -5.826
Co Ag Os
1 1 1
direct
0.000 0.000 0.000
0.676 0.676 0.000
0.369 0.369 0.000

---

No. 18
CoAg2Os GGA-PBE relaxed; magnetic moment = 0.472 μB/atom; total DFT energy (no corrections) = -5.3533 eV/atom; SG = Pmmm (47)
1.0
2.709 0.000 0.000
0.000 4.636 0.000
0.000 0.000 4.886
Co Ag Os
1 2 1
direct
0.000 0.000 0.000
0.000 0.500 0.500
0.500 0.000 0.500
0.500 0.500 0.000

---

No. 19
CoAgOs2 GGA-PBE relaxed; magnetic moment = 0.092 μB/atom; total DFT energy (no corrections) = -7.3835 eV/atom; SG = I4/mmm (139)
1.0
-1.873 1.873 4.025
1.873 -1.873 4.025
1.873 1.873 -4.025
Co Ag Os
1 1 2
direct
0.000 0.000 0.000
0.500 0.500 0.000
0.250 0.750 0.500
0.750 0.250 0.500

---

No. 20
CoAg2Os2 GGA-PBE relaxed; magnetic moment = 0.374 μB/atom; total DFT energy (no corrections) = -5.7375 eV/atom; SG = I4/mmm (139)
1.0
-1.776 1.776 6.708
1.776 -1.776 6.708
1.776 1.776 -6.708
Co Ag Os
1 2 2
direct
0.000 0.000 0.000
0.250 0.750 0.500
0.750 0.250 0.500
0.414 0.414 0.000
0.586 0.586 0.000

---

No. 21
CoAg2Os GGA-PBE relaxed; magnetic moment = 0.520 μB/atom; total DFT energy (no corrections) = -5.5542 eV/atom; SG = Cmm2 (35)
1.0
1.401 -2.323 0.000
1.401 2.323 0.000
0.000 0.000 9.502
Co Ag Os
1 2 1
direct
0.000 0.000 0.000
0.000 0.000 0.483
0.500 0.500 0.753
0.500 0.500 0.214

---

No. 22
CoAgOs2 GGA-PBE relaxed; magnetic moment = 0.374 μB/atom; total DFT energy (no corrections) = -7.1596 eV/atom; SG = Fm-3m (225)
1.0
0.000 3.053 3.053
3.053 0.000 3.053
3.053 3.053 0.000
Co Ag Os
1 1 2
direct
0.000 0.000 0.000
0.500 0.500 0.500
0.250 0.250 0.250
0.750 0.750 0.750

---

No. 23
CoAgOs2 GGA-PBE relaxed; magnetic moment = 0.279 μB/atom; total DFT energy (no corrections) = -7.3428 eV/atom; SG = P4/mmm (123)
1.0
3.768 0.000 0.000
0.000 3.768 0.000
0.000 0.000 3.988
Co Ag Os
1 1 2
direct
0.000 0.000 0.000
0.500 0.500 0.000
0.000 0.500 0.500
0.500 0.000 0.500

---

No. 24
Co2AgOs2 GGA-PBE relaxed; magnetic moment = 0.000 μB/atom; total DFT energy (no corrections) = -7.4261 eV/atom; SG = P4/mbm (127)
1.0
7.259 0.000 0.000
0.000 7.259 0.000
0.000 0.000 2.611
Co Ag Os
4 2 4
direct
0.117 0.383 0.000
0.383 0.883 0.000
0.617 0.117 0.000
0.883 0.617 0.000
0.000 0.000 0.000
0.500 0.500 0.000
0.173 0.673 0.500
0.327 0.173 0.500
0.673 0.827 0.500
0.827 0.327 0.500

---

No. 25
CoAgOs2 GGA-PBE relaxed; magnetic moment = 0.488 μB/atom; total DFT energy (no corrections) = -7.5071 eV/atom; SG = Cmm2 (35)
1.0
1.384 -2.297 0.000
1.384 2.297 0.000
0.000 0.000 9.308
Co Ag Os
1 1 2
direct
0.000 0.000 0.000
0.500 0.500 0.748
0.000 0.000 0.471
0.500 0.500 0.228

---

No. 26
CoAgOs2 GGA-PBE relaxed; magnetic moment = 0.404 μB/atom; total DFT energy (no corrections) = -7.6510 eV/atom; SG = Pmm2 (25)
1.0
2.741 0.000 0.000
0.000 3.798 0.000
0.000 0.000 5.563
Co Ag Os
1 1 2
direct
0.000 0.000 0.000
0.500 0.500 0.748
0.000 0.000 0.449
0.500 0.500 0.243

---

No. 27
CoAg2Os GGA-PBE relaxed; magnetic moment = 0.566 μB/atom; total DFT energy (no corrections) = -5.2944 eV/atom; SG = P4/mmm (123)
1.0
2.659 0.000 0.000
0.000 2.659 0.000
0.000 0.000 8.643
Co Ag Os
1 2 1
direct
0.000 0.000 0.000
0.500 0.500 0.238
0.500 0.500 0.762
0.000 0.000 0.500

---

No. 28
Co3AgOs GGA-PBE relaxed; magnetic moment = 0.586 μB/atom; total DFT energy (no corrections) = -5.6412 eV/atom; SG = Pm-3m (221)
1.0
4.466 0.000 0.000
0.000 4.466 0.000
0.000 0.000 4.466
Co Ag Os
3 1 1
direct
0.000 0.000 0.500
0.000 0.500 0.000
0.500 0.000 0.000
0.500 0.500 0.500
0.000 0.000 0.000

---

No. 29
CoAg2Os GGA-PBE relaxed; magnetic moment = 0.814 μB/atom; total DFT energy (no corrections) = -5.2379 eV/atom; SG = I4/mmm (139)
1.0
-1.883 1.883 4.316
1.883 -1.883 4.316
1.883 1.883 -4.316
Co Ag Os
1 2 1
direct
0.000 0.000 0.000
0.250 0.750 0.500
0.750 0.250 0.500
0.500 0.500 0.000

---

No. 30
CoAgOs2 GGA-PBE relaxed; magnetic moment = 0.414 μB/atom; total DFT energy (no corrections) = -7.3991 eV/atom; SG = P2/m (10)
1.0
2.694 0.000 0.000
0.000 4.235 0.000
-1.159 0.000 5.076
Co Ag Os
1 1 2
direct
0.000 0.000 0.000
0.000 0.000 0.500
0.373 0.500 0.226
0.627 0.500 0.774